(1)
Fe4CoAs | the Alexandria database | SCAN | single point on PBEsol structure; calculated total energy = -18.071 eV per atom; DOS(E_F) = 0.883 states/eV per atom; crystal system = cubic; SG = F-43m
1.0
4.629 0.000 0.000
2.314 4.009 0.000
2.314 1.336 3.779
As Fe Co
1 4 1
Direct
0.250 0.250 0.250 As
0.625 0.125 0.625 Fe
0.625 0.625 0.625 Fe
0.625 0.625 0.125 Fe
0.125 0.625 0.625 Fe
0.000 0.000 0.000 Co

(2)
KCdPb2 | the Alexandria database | SCAN | single point on PBEsol structure; calculated total energy = -47.682 eV per atom; DOS(E_F) = 0.452 states/eV per atom; crystal system = orthorhombic; SG = Pmm2
1.0
3.540 0.000 0.000
0.000 4.571 0.000
0.000 0.000 7.711
Pb K Cd
2 1 1
Direct
0.000 0.000 0.041 Pb
0.500 0.500 0.258 Pb
0.500 0.500 0.743 K
0.000 0.000 0.458 Cd

(3)
TaAg2Ir | the Alexandria database | SCAN | single point on PBEsol structure; DOS(E_F) = 0.757 states/eV per atom; energy relative to the lowest polymorph listed for this composition = 0.0 meV per atom; crystal system = tetragonal; SG = P4mm
1.0
3.365 0.000 0.000
0.000 3.365 0.000
0.000 0.000 5.825
Ag Ta Ir
2 1 1
Direct
0.000 0.000 0.010 Ag
0.500 0.500 0.242 Ag
0.500 0.500 0.718 Ta
0.000 0.000 0.530 Ir

(4)
HgPb5 | the Alexandria database | SCAN | single point on PBEsol structure; DOS(E_F) = 0.488 states/eV per atom; energy relative to the lowest polymorph listed for this composition = 4.0 meV per atom; crystal system = tetragonal; SG = P4/mmm
1.0
3.481 0.000 0.000
0.000 3.481 0.000
0.000 0.000 14.116
Pb Hg
5 1
Direct
0.500 0.500 0.674 Pb
0.000 0.000 0.500 Pb
0.000 0.000 0.152 Pb
0.000 0.000 0.848 Pb
0.500 0.500 0.326 Pb
0.500 0.500 0.000 Hg